The following is a DFT calculation (GGA-PBE) of a relaxed CsBI2O crystal.

Results
ΔE_f (raw) = 5.76 eV/f.u.
total magnetic moment = 0.8 μB/f.u.

abc: 7.158 7.158 4.383
angles: 90.00 90.00 90.00
Space group P4/mmm (No. 123)
Symmetry-distinct sites (fractional):
Cs: 0.000 0.000 0.000
B: 0.500 0.500 0.500
I: 0.000 0.500 0.000
O: 0.000 0.000 0.500